A relaxed MnCr2Au crystal. Source: the Alexandria database, functional PBE.

a b c (Å): 3.7653 3.7653 3.8359
angles (deg): 90.00 90.00 90.00
Positions (direct):
Mn 0.0000 0.0000 0.0000
Cr 0.0000 0.5000 0.5000
Cr 0.5000 0.0000 0.5000
Au 0.5000 0.5000 0.0000

Output
Symmetry ... P4/mmm, No. 123
Energy ... -30.683 eV/f.u.
E above lowest polymorph ... 109.1 meV/atom

=====

A relaxed MnCr2Au crystal. Source: the Alexandria database, functional PBE.

a b c (Å): 5.9600 5.9600 5.9600
angles (deg): 90.00 90.00 90.00
Positions (direct):
Mn 0.0000 0.0000 0.0000
Mn 0.0000 0.5000 0.5000
Mn 0.5000 0.0000 0.5000
Mn 0.5000 0.5000 0.0000
Cr 0.2500 0.2500 0.2500
Cr 0.2500 0.2500 0.7500
Cr 0.2500 0.7500 0.2500
Cr 0.2500 0.7500 0.7500
Cr 0.7500 0.2500 0.2500
Cr 0.7500 0.2500 0.7500
Cr 0.7500 0.7500 0.2500
Cr 0.7500 0.7500 0.7500
Au 0.0000 0.0000 0.5000
Au 0.0000 0.5000 0.0000
Au 0.5000 0.0000 0.0000
Au 0.5000 0.5000 0.5000

Output
Symmetry ... Fm-3m, No. 225
Energy ... -29.365 eV/f.u.
E above lowest polymorph ... 438.6 meV/atom

=====

A relaxed MnCr3Au crystal. Source: the Alexandria database, functional PBE.

a b c (Å): 4.1972 4.1972 4.1972
angles (deg): 90.00 90.00 90.00
Positions (direct):
Mn 0.0000 0.0000 0.0000
Cr 0.0000 0.0000 0.5000
Cr 0.0000 0.5000 0.0000
Cr 0.5000 0.0000 0.0000
Au 0.5000 0.5000 0.5000

Output
Symmetry ... Pm-3m, No. 221
Energy ... -36.159 eV/f.u.

=====

A relaxed MnCr2Au crystal. Source: the Alexandria database, functional PBE.

a b c (Å): 8.7693 2.7680 4.6608
angles (deg): 90.00 103.55 90.00
Positions (direct):
Mn 0.0000 0.0000 0.0000
Mn 0.5000 0.5000 0.0000
Cr 0.2409 0.5000 0.2201
Cr 0.4758 0.0000 0.4470
Cr 0.7409 0.0000 0.2201
Cr 0.9758 0.5000 0.4470
Au 0.2383 0.0000 0.7216
Au 0.7383 0.5000 0.7216

Output
Symmetry ... Cm, No. 8
Energy ... -30.342 eV/f.u.
E above lowest polymorph ... 194.4 meV/atom